The following is a PBE-GGA calculation of RbPuInF6 after structural relaxation, from Alexandria via LeMat-Bulk.

Lattice parameters (Å, degrees): 6.7594 6.7599 5.2432 90.02 89.98 59.86
Positions (direct):
F  0.6041  0.0597  0.2794
In  0.6667  0.6667  0.5009
F  0.6028  0.3348  0.7220
Pu  0.3334  0.3334  0.4997
F  0.0604  0.6048  0.7202
F  0.3362  0.6022  0.2775
F  0.0615  0.3360  0.2779
F  0.3345  0.0624  0.7218
Rb  0.0001  0.0001  0.0005

Values from the calculation:
The calculation puts the uncorrected formation energy at -2.96 eV per atom. For the total energy, the calculation gives -6.21 eV per atom.



The following is a PBE-GGA calculation of DyInN2 after structural relaxation, from Alexandria via LeMat-Bulk.

Lattice parameters (Å, degrees): 3.4485 3.4485 5.7501 72.55 72.55 60.00
Positions (direct):
N  0.7499  0.7499  0.7504
Dy  0.5000  0.5000  0.5000
In  0.0000  0.0000  0.0000
N  0.2501  0.2501  0.2496

Values from the calculation:
The calculation puts the uncorrected formation energy at -0.72 eV per atom. For the total energy, the calculation gives -6.71 eV per atom.



The following is a PBE-GGA calculation of KH5 after structural relaxation, from Alexandria via LeMat-Bulk.

Lattice parameters (Å, degrees): 4.5200 2.4616 5.1710 103.77 90.00 90.00
Positions (direct):
H  0.0000  0.7480  0.4959
H  0.5000  0.5000  0.0000
H  0.5000  0.7476  0.4952
H  0.5000  0.2524  0.5048
H  0.0000  0.2520  0.5041
K  0.0000  0.0000  0.0000

Values from the calculation:
For the total energy, the calculation gives -2.42 eV per atom. Its polymorph energy (0 for the lowest one) is 590.0 meV/atom. For the density of states at the Fermi level, the calculation gives 0.17 states/eV per atom.



The following is a PBE-GGA calculation of HgBi2Se after structural relaxation, from Alexandria via LeMat-Bulk.

Lattice parameters (Å, degrees): 5.0529 5.0529 10.8737 76.56 76.56 90.00
Positions (direct):
Hg  0.0000  0.0000  0.0000
Hg  0.7500  0.2500  0.5000
Se  0.2500  0.7500  0.5000
Bi  0.1873  0.6250  0.2500
Bi  0.8750  0.8127  0.7500
Bi  0.3750  0.4373  0.7500
Bi  0.5627  0.1250  0.2500
Se  0.5000  0.5000  0.0000

Values from the calculation:
The calculation puts the uncorrected formation energy at 0.03 eV per atom. For the total energy, the calculation gives -2.86 eV per atom. Its polymorph energy (0 for the lowest one) is 6.5 meV/atom. For the density of states at the Fermi level, the calculation gives 0.25 states/eV per atom.



The following is a PBE-GGA calculation of MoIrPb2 after structural relaxation, from Alexandria via LeMat-Bulk.

Lattice parameters (Å, degrees): 6.3926 6.3926 6.3926 152.39 134.11 54.39
Positions (direct):
Pb  0.7214  0.2214  0.5000
Mo  0.2873  0.7873  0.5000
Pb  0.0215  0.0215  0.0000
Ir  0.4697  0.4697  0.0000

Values from the calculation:
For the total energy, the calculation gives -6.19 eV per atom. Its polymorph energy (0 for the lowest one) is 371.2 meV/atom. For the density of states at the Fermi level, the calculation gives 1.04 states/eV per atom.



The following is a PBE-GGA calculation of ZnWAu after structural relaxation, from Alexandria via LeMat-Bulk.

Lattice parameters (Å, degrees): 6.6054 6.6049 2.7566 77.97 77.94 24.09
Positions (direct):
Au  0.9984  0.9984  0.0016
Zn  0.3311  0.3311  0.6689
W  0.6705  0.6705  0.3295

Values from the calculation:
For the total energy, the calculation gives -5.62 eV per atom. Its polymorph energy (0 for the lowest one) is 0.0 meV/atom. For the density of states at the Fermi level, the calculation gives 0.28 states/eV per atom.



Number 1: volume 207.2 Å³ per cell, spin magnetization 0.444 μB/atom. Number 2: volume 55.6 Å³ per cell, spin magnetization 0.000 μB/atom. Number 3: volume 55.9 Å³ per cell, spin magnetization 0.001 μB/atom. Number 4: volume 262.2 Å³ per cell, spin magnetization 0.000 μB/atom. Number 5: volume 86.5 Å³ per cell, spin magnetization 0.000 μB/atom. Number 6: volume 48.0 Å³ per cell, spin magnetization 0.000 μB/atom.